[1]
This record from Alexandria via LeMat-Bulk describes a geometry-optimized Ta5Fe structure. The functional is GGA-PBEsol.

Computed properties:
space group: Cmmm (65)
polymorph energy (0 for the lowest one): 15.0 meV per atom
energy of formation from the pure elements: -0.16 eV per formula unit

POSCAR file:
```
Ta5Fe
1.0
-2.7267 1.6218 -0.4411
-1.1494 -2.8524 -3.3828
-1.7159 -4.7908 4.6227
Ta Fe
5 1
Direct
0.8424 0.0000 0.6848
0.3336 0.5000 0.6672
0.0000 0.5000 0.0000
0.1576 0.0000 0.3152
0.6664 0.5000 0.3328
0.5000 0.0000 0.0000
```

=====

[2]
This record from Alexandria via LeMat-Bulk describes a geometry-optimized Ta4Fe structure. The functional is GGA-PBEsol.

Computed properties:
space group: I4/m (87)
energy of formation from the pure elements: -0.17 eV per formula unit

POSCAR file:
```
Ta4Fe
1.0
-1.2218 0.0363 -2.9294
2.8530 -3.3294 -2.9508
-3.7172 -3.7506 -0.2158
Ta Fe
4 1
Direct
0.2102 0.3828 0.1968
0.4070 0.8032 0.3828
0.5930 0.1968 0.6172
0.7898 0.6172 0.8032
0.0000 0.0000 0.0000
```

=====

[3]
This record from Alexandria via LeMat-Bulk describes a geometry-optimized Ta5Fe3 structure. The functional is GGA-PBEsol.

Computed properties:
space group: P6_3/mcm (193)
polymorph energy (0 for the lowest one): 0.0 meV per atom
energy of formation from the pure elements: -0.76 eV per formula unit

POSCAR file:
```
Ta5Fe3
1.0
5.0840 0.0000 0.0000
0.0000 7.3645 0.0000
0.0000 -3.6823 6.3779
Ta Fe
10 6
Direct
0.2500 0.2427 0.2427
0.0000 0.3333 0.6667
0.5000 0.6667 0.3333
0.7500 0.0000 0.2427
0.2500 0.7573 0.0000
0.2500 0.0000 0.7573
0.0000 0.6667 0.3333
0.7500 0.7573 0.7573
0.5000 0.3333 0.6667
0.7500 0.2427 0.0000
0.7500 0.4022 0.4022
0.2500 0.5978 0.5978
0.2500 0.4022 0.0000
0.2500 0.0000 0.4022
0.7500 0.0000 0.5978
0.7500 0.5978 0.0000
```

=====

[4]
This record from Alexandria via LeMat-Bulk describes a geometry-optimized Ta5Fe structure. The functional is GGA-PBEsol.

Computed properties:
space group: C2/m (12)
polymorph energy (0 for the lowest one): 0.0 meV per atom
energy of formation from the pure elements: -0.25 eV per formula unit

POSCAR file:
```
Ta5Fe
1.0
3.2228 0.0000 0.0000
-1.6114 5.0567 0.0011
0.0000 -2.0314 6.0136
Ta Fe
5 1
Direct
0.8403 0.6805 0.6611
0.5000 0.0000 0.0000
0.1629 0.3258 0.8227
0.8371 0.6742 0.1773
0.1597 0.3195 0.3389
0.5000 0.0000 0.5000
```

=====

[5]
This record from Alexandria via LeMat-Bulk describes a geometry-optimized Ta5Fe3 structure. The functional is GGA-PBEsol.

Computed properties:
space group: Cmmm (65)
polymorph energy (0 for the lowest one): 33.2 meV per atom
energy of formation from the pure elements: -0.50 eV per formula unit

POSCAR file:
```
Ta5Fe3
1.0
4.3509 0.0000 0.0000
0.0000 5.3525 0.0044
0.0000 -1.7582 5.0555
Ta Fe
5 3
Direct
0.0000 0.0000 0.0000
0.0000 0.0000 0.5000
0.5000 0.2594 0.2594
0.0000 0.5000 0.0000
0.5000 0.7406 0.7406
0.5000 0.2530 0.7470
0.5000 0.7470 0.2530
0.0000 0.5000 0.5000
```

=====

[6]
This record from Alexandria via LeMat-Bulk describes a geometry-optimized Ta8Fe structure. The functional is GGA-PBEsol.

Computed properties:
space group: I4/mmm (139)
energy of formation from the pure elements: -0.17 eV per formula unit

POSCAR file:
```
Ta8Fe
1.0
-2.9913 -1.1544 0.4382
-0.2328 -1.3174 6.8901
-3.7751 5.7601 1.3538
Ta Fe
8 1
Direct
0.3315 0.6685 0.6685
0.0000 0.3315 0.6685
0.6685 0.3315 0.3315
0.3397 0.3206 0.0000
0.3397 0.0000 0.3206
0.0000 0.6685 0.3315
0.6603 0.6794 0.0000
0.6603 0.0000 0.6794
0.0000 0.0000 0.0000
```

=====

[7]
This record from Alexandria via LeMat-Bulk describes a geometry-optimized Ta6Fe7 structure. The functional is GGA-PBEsol.

Computed properties:
space group: R-3m (166)
energy of formation from the pure elements: -2.96 eV per formula unit

POSCAR file:
```
Ta6Fe7
1.0
-3.4343 0.3941 3.3221
-1.2119 -3.8019 2.6577
4.5024 1.1210 7.9811
Ta Fe
6 7
Direct
0.9502 0.9502 0.1495
0.1530 0.1530 0.5411
0.8470 0.8470 0.4589
0.3346 0.3346 0.9963
0.0498 0.0498 0.8505
0.6654 0.6654 0.0037
0.0917 0.5922 0.7239
0.5922 0.5922 0.7239
0.5922 0.0917 0.7239
0.5000 0.5000 0.5000
0.4078 0.9083 0.2761
0.4078 0.4078 0.2761
0.9083 0.4078 0.2761
```

=====

[8]
This record from Alexandria via LeMat-Bulk describes a geometry-optimized TaFe structure. The functional is GGA-PBEsol.

Computed properties:
space group: Fd-3m (227)
energy of formation from the pure elements: 0.14 eV per formula unit

POSCAR file:
```
TaFe
1.0
4.2795 0.0000 0.0000
2.1398 3.7062 0.0000
2.1398 1.2354 3.4942
Fe Ta
2 2
Direct
0.0000 0.0000 0.0000
0.2500 0.2500 0.2500
0.5000 0.5000 0.5000
0.7500 0.7500 0.7500
```